{"formula": "Pm5Pr5Nd2", "functional": "PBE-GGA", "state": "optimized geometry", "dft_energy_ha_per_atom": -0.17465, "spacegroup": "C2/m (12)", "dos_at_fermi_per_ev_fu": 19.7, "e_form_ev_per_atom": 0.0131, "rho_g_cm3": 6.72, "total_magnetization_mub_per_cell": 0.000, "cell": [[5.088, 0.000, 1.087], [2.244, 7.687, 1.948], [0.301, 0.650, 11.040]], "species": ["Pm", "Pm", "Pm", "Pm", "Pm", "Pr", "Pr", "Pr", "Pr", "Pr", "Nd", "Nd"], "fractional_positions": [[0.500, 0.500, 0.500], [0.333, 0.334, 0.000], [0.417, 0.916, 0.249], [0.583, 0.084, 0.751], [0.667, 0.666, 0.000], [0.834, 0.832, 0.499], [0.250, 0.749, 0.751], [0.750, 0.251, 0.249], [0.166, 0.168, 0.501], [0.000, 0.000, 0.000], [0.917, 0.416, 0.751], [0.083, 0.584, 0.249]]}



{"formula": "MnReSb2", "functional": "PBE-GGA", "state": "optimized geometry", "dft_energy_ha_per_atom": -0.24143, "spacegroup": "I-42d (122)", "dos_at_fermi_per_ev_fu": 3.7, "raw_formation_energy_mev_per_atom": 896, "rho_g_cm3": 7.00, "total_magnetization_mub_per_cell": 7.925, "cell": [[6.233, 0.000, 0.000], [0.000, 6.233, 0.000], [3.117, 3.117, 5.916]], "species": ["Re", "Re", "Mn", "Mn", "Sb", "Sb", "Sb", "Sb"], "fractional_positions": [[0.000, 0.000, 0.000], [0.750, 0.250, 0.500], [0.500, 0.500, 0.000], [0.250, 0.750, 0.500], [0.644, 0.125, 0.250], [0.106, 0.625, 0.250], [0.375, 0.356, 0.750], [0.875, 0.894, 0.750]]}